(1)
This record from the Alexandria database describes a relaxed KNiMo2 crystal. The functional is PBE.

a b c (Å): 5.0085 5.0085 2.6635
angles (deg): 90.00 90.00 90.00
Last column: nearest neighbours and their distance in Å.
Space group P4/mmm (No. 123)
One atom of each set of equivalent atoms:
K1 0.0000 0.0000 0.0000 x1  2 K 2.66, 8 Mo 2.84
Ni1 0.5000 0.5000 0.0000 x1  2 Ni 2.66, 8 Mo 2.84
Mo1 0.0000 0.5000 0.5000 x2  2 Mo 2.66, 4 K 2.84, 4 Ni 2.84

Calculated values
DFT total energy = -5.411 eV per atom

---

(2)
This record from the Alexandria database describes a relaxed La4DyEr6 crystal. The functional is PBE.

a b c (Å): 6.7615 6.7615 16.8302
angles (deg): 90.00 90.00 90.00
Last column: nearest neighbours and their distance in Å.
Space group I-42m (No. 121)
One atom of each set of equivalent atoms:
La1 0.1902 0.1902 0.3232 x8  7 Er 3.47-3.86, 1 Dy 3.49, 1 La 3.64
Dy1 0.0000 0.0000 0.5000 x2  8 Er 3.38-3.69, 4 La 3.49
Er1 0.0000 0.5000 0.0000 x4  4 Er 3.18, 2 Dy 3.38
Er2 0.1746 0.1746 0.1174 x8  3 Er 3.18-3.34, 3 La 3.47-3.54

Calculated values
DFT total energy = -4.405 eV per atom

---

(3)
This record from the Alexandria database describes a relaxed KErP2Pt4 crystal. The functional is PBE.

a b c (Å): 4.0308 4.0308 10.5931
angles (deg): 90.00 90.00 90.00
Last column: nearest neighbours and their distance in Å.
Space group P4/mmm (No. 123)
One atom of each set of equivalent atoms:
K1 0.0000 0.0000 0.0000 x1  8 P 3.47, 8 Pt 3.76
Er1 0.0000 0.0000 0.5000 x1  8 Pt 2.92
P1 0.5000 0.5000 0.1865 x2  4 Pt 2.35
Pt1 0.0000 0.5000 0.3001 x4  2 P 2.35

Calculated values
DFT total energy = -5.844 eV per atom

---

(4)
This record from the Alexandria database describes a relaxed EuHo2Hg crystal. The functional is PBE.

a b c (Å): 7.6871 7.6871 7.6871
angles (deg): 90.00 90.00 90.00
Last column: nearest neighbours and their distance in Å.
Space group Fm-3m (No. 225)
One atom of each set of equivalent atoms:
Eu1 0.0000 0.0000 0.0000 x4  8 Ho 3.33
Ho1 0.2500 0.2500 0.2500 x8  4 Hg 3.33, 4 Eu 3.33
Hg1 0.0000 0.0000 0.5000 x4  8 Ho 3.33

Calculated values
DFT total energy = -4.960 eV per atom

---

no.,calculated density (g/cm³),formation enthalpy at 0 K (meV per atom)
1,7.2,1724
2,7.4,294
3,10.1,-763
4,10.0,-27